# SmInPbI6 PBE optimized geometry
# * total magnetic moment: 0.000 μB/atom
# * volume: 866 Å³ per cell
# * total energy: -3.215 eV/atom
data_SmInPbI6
_chemical_formula_sum 'Sm2 In2 Pb2 I12'
_cell_length_a 8.124
_cell_length_b 8.124
_cell_length_c 15.146
_cell_angle_alpha 90.00
_cell_angle_beta 90.00
_cell_angle_gamma 120.00
_space_group_name_H-M_alt 'P 1'
_space_group_IT_number 1
loop_
_space_group_symop_operation_xyz
'x,y,z'
loop_
_atom_site_label
_atom_site_type_symbol
_atom_site_fract_x
_atom_site_fract_y
_atom_site_fract_z
_atom_site_occupancy
Sm1 Sm 0.667 0.333 0.250 1
I1 I 0.014 0.649 0.870 1
I2 I 0.635 0.986 0.870 1
I3 I 0.635 0.649 0.630 1
I4 I 0.649 0.635 0.130 1
I5 I 0.365 0.014 0.130 1
I6 I 0.351 0.986 0.630 1
In1 In 0.000 0.000 0.500 1
I7 I 0.014 0.365 0.630 1
Pb1 Pb 0.667 0.333 0.750 1
Pb2 Pb 0.333 0.667 0.250 1
In2 In 0.000 0.000 0.000 1
I8 I 0.986 0.351 0.130 1
I9 I 0.365 0.351 0.370 1
Sm2 Sm 0.333 0.667 0.750 1
I10 I 0.649 0.014 0.370 1
I11 I 0.351 0.365 0.870 1
I12 I 0.986 0.635 0.370 1


# SrIn2PbI6 PBE optimized geometry
# * total magnetic moment: 0.000 μB/atom
# * volume: 479 Å³ per cell
# * total energy: -2.880 eV/atom
data_SrIn2PbI6
_chemical_formula_sum 'Sr1 In2 Pb1 I6'
_cell_length_a 8.597
_cell_length_b 8.596
_cell_length_c 8.989
_cell_angle_alpha 61.42
_cell_angle_beta 61.41
_cell_angle_gamma 59.97
_space_group_name_H-M_alt 'P 1'
_space_group_IT_number 1
loop_
_space_group_symop_operation_xyz
'x,y,z'
loop_
_atom_site_label
_atom_site_type_symbol
_atom_site_fract_x
_atom_site_fract_y
_atom_site_fract_z
_atom_site_occupancy
I1 I 0.447 0.693 0.759 1
I2 I 0.102 0.447 0.759 1
In1 In 0.018 0.018 0.946 1
I3 I 0.195 0.952 0.259 1
Pb1 Pb 0.322 0.322 0.035 1
I4 I 0.952 0.595 0.259 1
I5 I 0.693 0.101 0.759 1
In2 In 0.519 0.519 0.443 1
I6 I 0.594 0.195 0.259 1
Sr1 Sr 0.821 0.821 0.538 1


# InTePbI2 PBE optimized geometry
# * total magnetic moment: 0.000 μB/atom
# * volume: 200 Å³ per cell
# * total energy: -2.556 eV/atom
# * E above lowest polymorph: 96 meV/atom
data_InTePbI2
_chemical_formula_sum 'In1 Te1 Pb1 I2'
_cell_length_a 5.848
_cell_length_b 5.848
_cell_length_c 5.835
_cell_angle_alpha 90.00
_cell_angle_beta 90.00
_cell_angle_gamma 90.00
_space_group_name_H-M_alt 'P 1'
_space_group_IT_number 1
loop_
_space_group_symop_operation_xyz
'x,y,z'
loop_
_atom_site_label
_atom_site_type_symbol
_atom_site_fract_x
_atom_site_fract_y
_atom_site_fract_z
_atom_site_occupancy
Te1 Te 0.000 0.000 0.500 1
I1 I 0.000 0.500 0.000 1
I2 I 0.500 0.000 0.000 1
Pb1 Pb 0.500 0.500 0.500 1
In1 In 0.000 0.000 0.000 1


# InTe2PbI PBE optimized geometry
# * total magnetic moment: 0.000 μB/atom
# * volume: 191 Å³ per cell
# * total energy: -2.768 eV/atom
# * E above lowest polymorph: 0 meV/atom
data_InTe2PbI
_chemical_formula_sum 'In1 Te2 Pb1 I1'
_cell_length_a 5.735
_cell_length_b 5.735
_cell_length_c 5.809
_cell_angle_alpha 90.00
_cell_angle_beta 90.00
_cell_angle_gamma 90.00
_space_group_name_H-M_alt 'P 1'
_space_group_IT_number 1
loop_
_space_group_symop_operation_xyz
'x,y,z'
loop_
_atom_site_label
_atom_site_type_symbol
_atom_site_fract_x
_atom_site_fract_y
_atom_site_fract_z
_atom_site_occupancy
Pb1 Pb 0.500 0.500 0.500 1
Te1 Te 0.500 0.000 0.000 1
I1 I 0.000 0.000 0.500 1
Te2 Te 0.000 0.500 0.000 1
In1 In 0.000 0.000 0.000 1


# InTePbI2 PBE optimized geometry
# * total magnetic moment: 0.123 μB/atom
# * volume: 237 Å³ per cell
# * total energy: -2.652 eV/atom
# * E above lowest polymorph: 0 meV/atom
data_InTePbI2
_chemical_formula_sum 'In1 Te1 Pb1 I2'
_cell_length_a 6.286
_cell_length_b 6.286
_cell_length_c 6.007
_cell_angle_alpha 90.00
_cell_angle_beta 90.00
_cell_angle_gamma 90.00
_space_group_name_H-M_alt 'P 1'
_space_group_IT_number 1
loop_
_space_group_symop_operation_xyz
'x,y,z'
loop_
_atom_site_label
_atom_site_type_symbol
_atom_site_fract_x
_atom_site_fract_y
_atom_site_fract_z
_atom_site_occupancy
Pb1 Pb 0.000 0.000 0.000 1
I1 I 0.000 0.500 0.000 1
Te1 Te 0.000 0.000 0.500 1
I2 I 0.500 0.000 0.000 1
In1 In 0.500 0.500 0.500 1


# InTe2PbI PBE optimized geometry
# * total magnetic moment: 0.000 μB/atom
# * volume: 221 Å³ per cell
# * total energy: -2.737 eV/atom
# * E above lowest polymorph: 30 meV/atom
data_InTe2PbI
_chemical_formula_sum 'In1 Te2 Pb1 I1'
_cell_length_a 5.900
_cell_length_b 5.900
_cell_length_c 6.334
_cell_angle_alpha 90.00
_cell_angle_beta 90.00
_cell_angle_gamma 90.00
_space_group_name_H-M_alt 'P 1'
_space_group_IT_number 1
loop_
_space_group_symop_operation_xyz
'x,y,z'
loop_
_atom_site_label
_atom_site_type_symbol
_atom_site_fract_x
_atom_site_fract_y
_atom_site_fract_z
_atom_site_occupancy
In1 In 0.500 0.500 0.500 1
Te1 Te 0.500 0.000 0.000 1
I1 I 0.000 0.000 0.500 1
Te2 Te 0.000 0.500 0.000 1
Pb1 Pb 0.000 0.000 0.000 1


# TiInPbI6 PBE optimized geometry
# * total magnetic moment: 0.111 μB/atom
# * volume: 395 Å³ per cell
# * total energy: -3.246 eV/atom
data_TiInPbI6
_chemical_formula_sum 'Ti1 In1 Pb1 I6'
_cell_length_a 7.912
_cell_length_b 7.912
_cell_length_c 7.291
_cell_angle_alpha 90.02
_cell_angle_beta 89.98
_cell_angle_gamma 59.96
_space_group_name_H-M_alt 'P 1'
_space_group_IT_number 1
loop_
_space_group_symop_operation_xyz
'x,y,z'
loop_
_atom_site_label
_atom_site_type_symbol
_atom_site_fract_x
_atom_site_fract_y
_atom_site_fract_z
_atom_site_occupancy
I1 I 0.617 0.345 0.729 1
I2 I 0.345 0.617 0.271 1
I3 I 0.344 0.038 0.729 1
I4 I 0.038 0.618 0.729 1
In1 In 0.000 0.000 0.000 1
I5 I 0.038 0.344 0.271 1
Pb1 Pb 0.667 0.667 0.500 1
I6 I 0.618 0.038 0.271 1
Ti1 Ti 0.333 0.333 0.500 1


# Ti2InPbI PBE optimized geometry
# * total magnetic moment: 0.952 μB/atom
# * volume: 175 Å³ per cell
# * total energy: -3.913 eV/atom
data_Ti2InPbI
_chemical_formula_sum 'Ti2 In1 Pb1 I1'
_cell_length_a 5.478
_cell_length_b 5.834
_cell_length_c 5.478
_cell_angle_alpha 90.00
_cell_angle_beta 90.00
_cell_angle_gamma 90.00
_space_group_name_H-M_alt 'P 1'
_space_group_IT_number 1
loop_
_space_group_symop_operation_xyz
'x,y,z'
loop_
_atom_site_label
_atom_site_type_symbol
_atom_site_fract_x
_atom_site_fract_y
_atom_site_fract_z
_atom_site_occupancy
In1 In 0.000 0.500 0.000 1
Pb1 Pb 0.000 0.000 0.000 1
I1 I 0.500 0.500 0.500 1
Ti1 Ti 0.000 0.000 0.500 1
Ti2 Ti 0.500 0.000 0.000 1